# LiTmTe3Pd, relaxed, DFT GGA-PBE
data_LiTmTe3Pd
_chemical_formula_sum 'Li2 Tm2 Te6 Pd2'
_space_group_name_H-M_alt 'P 1'
_space_group_IT_number 1
_cell_length_a 8.0250
_cell_length_b 8.0250
_cell_length_c 10.0292
_cell_angle_alpha 90.00
_cell_angle_beta 90.00
_cell_angle_gamma 149.95
loop_
_space_group_symop_operation_xyz
'x,y,z'
loop_
_atom_site_label
_atom_site_fract_x
_atom_site_fract_y
_atom_site_fract_z
Li1 0.2271 0.7729 0.7500
Li2 0.7729 0.2271 0.2500
Tm1 0.0000 0.0000 0.0000
Tm2 0.0000 0.0000 0.5000
Te1 0.1140 0.8860 0.2500
Te2 0.3649 0.6351 0.0849
Te3 0.3649 0.6351 0.4151
Te4 0.6351 0.3649 0.5849
Te5 0.6351 0.3649 0.9151
Te6 0.8860 0.1140 0.7500
Pd1 0.4995 0.5005 0.2500
Pd2 0.5005 0.4995 0.7500
# **Calculated total energy**: -4.36 eV per atom
# **Volume**: 323 Å³/cell
# **Magnetization**: 0.0 Bohr magnetons per cell